Record 1
Density functional theory data (PBE) for SrCuHg2 after structural relaxation.

Cell and atoms, written as POSCAR:
```
SrCuHg2
1.0
-2.5653 2.5653 3.7740
2.5653 -2.5653 3.7740
2.5653 2.5653 -3.7740
Sr Cu Hg
1 1 2
direct
0.0000 0.0000 0.0000
0.2500 0.7500 0.5000
0.5000 0.5000 0.0000
0.7500 0.2500 0.5000
```

Computed properties:
D(E_F), states/eV/f.u.: 2.25
ρ, g cm⁻³: 9.23
Total energy, eV/cell: -6.91
ΔH_f (0 K), meV/atom: -131



Record 2
Density functional theory data (PBE) for SrCu3Hg after structural relaxation.

Cell and atoms, written as POSCAR:
```
SrCu3Hg
1.0
4.9445 0.0000 0.0000
0.0000 4.9445 0.0000
0.0000 0.0000 4.9445
Sr Cu Hg
1 3 1
direct
0.0000 0.0000 0.0000
0.0000 0.5000 0.5000
0.5000 0.0000 0.5000
0.5000 0.5000 0.0000
0.5000 0.5000 0.5000
```

Computed properties:
D(E_F), states/eV/f.u.: 2.08
ρ, g cm⁻³: 6.58
Total energy, eV/cell: -12.88
ΔH_f (0 K), meV/atom: 279
Distance to the lowest polymorph of the same formula, eV per atom: 0.000



Record 3
Density functional theory data (PBE) for SrCuHg2 after structural relaxation.

Cell and atoms, written as POSCAR:
```
SrCuHg2
1.0
4.0716 -2.3396 0.0000
4.0716 2.3396 0.0000
-2.6839 0.0000 5.4725
Sr Cu Hg
1 1 2
direct
0.0000 0.0000 0.0000
0.5000 0.5000 0.5000
0.2135 0.2135 0.6411
0.7865 0.7865 0.3589
```

Computed properties:
D(E_F), states/eV/f.u.: 1.95
ρ, g cm⁻³: 8.80
Total energy, eV/cell: -7.23
ΔH_f (0 K), meV/atom: -213



Record 4
Density functional theory data (PBE) for SrTmCuHg after structural relaxation.

Cell and atoms, written as POSCAR:
```
SrTmCuHg
1.0
0.0000 3.7167 3.7167
3.7167 0.0000 3.7167
3.7167 3.7167 0.0000
Sr Tm Cu Hg
1 1 1 1
direct
0.0000 0.0000 0.0000
0.5000 0.5000 0.5000
0.7500 0.7500 0.7500
0.2500 0.2500 0.2500
```

Computed properties:
D(E_F), states/eV/f.u.: 2.58
ρ, g cm⁻³: 8.42
Total energy, eV/cell: -11.32
ΔH_f (0 K), meV/atom: -191



Record 5
Density functional theory data (PBE) for SrCuHgW2 after structural relaxation.

Cell and atoms, written as POSCAR:
```
SrCuHgW2
1.0
5.2398 0.0000 0.0000
0.0000 5.2398 0.0000
0.0000 0.0000 4.9039
Sr Cu Hg W
1 1 1 2
direct
0.0000 0.0000 0.0000
0.5000 0.5000 0.0000
0.5000 0.5000 0.5000
0.0000 0.5000 0.5000
0.5000 0.0000 0.5000
```

Computed properties:
D(E_F), states/eV/f.u.: 5.64
ρ, g cm⁻³: 8.87
Total energy, eV/cell: -22.02
ΔH_f (0 K), meV/atom: 1994



Record 6
Density functional theory data (PBE) for SrYCuHg after structural relaxation.

Cell and atoms, written as POSCAR:
```
SrYCuHg
1.0
0.0000 3.7465 3.7465
3.7465 0.0000 3.7465
3.7465 3.7465 0.0000
Sr Y Cu Hg
1 1 1 1
direct
0.0000 0.0000 0.0000
0.5000 0.5000 0.5000
0.2500 0.2500 0.2500
0.7500 0.7500 0.7500
```

Computed properties:
D(E_F), states/eV/f.u.: 2.92
ρ, g cm⁻³: 6.96
Total energy, eV/cell: -13.38
ΔH_f (0 K), meV/atom: -209



Record 7
Density functional theory data (PBE) for SrZn2CuHg after structural relaxation.

Cell and atoms, written as POSCAR:
```
SrZn2CuHg
1.0
4.7908 0.0000 0.0000
0.0000 4.7908 0.0000
0.0000 0.0000 5.0755
Sr Zn Cu Hg
1 2 1 1
direct
0.0000 0.0000 0.0000
0.0000 0.5000 0.5000
0.5000 0.0000 0.5000
0.5000 0.5000 0.5000
0.5000 0.5000 0.0000
```

Computed properties:
D(E_F), states/eV/f.u.: 2.59
ρ, g cm⁻³: 6.88
Total energy, eV/cell: -9.12
ΔH_f (0 K), meV/atom: -98



Record 8
Density functional theory data (PBE) for Sr2ZnCuHg after structural relaxation.

Cell and atoms, written as POSCAR:
```
Sr2ZnCuHg
1.0
5.8535 0.0000 0.0000
0.0000 5.8535 0.0000
0.0000 0.0000 4.6362
Sr Zn Cu Hg
2 1 1 1
direct
0.0000 0.5000 0.0000
0.5000 0.0000 0.0000
0.0000 0.0000 0.5000
0.0000 0.0000 0.0000
0.5000 0.5000 0.5000
```

Computed properties:
D(E_F), states/eV/f.u.: 3.36
ρ, g cm⁻³: 5.28
Total energy, eV/cell: -9.75
ΔH_f (0 K), meV/atom: -143



Record 9
Density functional theory data (PBE) for Ta2CuHg after structural relaxation.

Cell and atoms, written as POSCAR:
```
Ta2CuHg
1.0
2.8848 0.0000 0.0000
0.0000 2.8848 0.0000
0.0000 0.0000 8.2524
Ta Cu Hg
2 1 1
direct
0.0000 0.0000 0.2212
0.0000 0.0000 0.7788
0.5000 0.5000 0.0000
0.5000 0.5000 0.5000
```

Computed properties:
D(E_F), states/eV/f.u.: 4.50
ρ, g cm⁻³: 15.14
Total energy, eV/cell: -27.09
ΔH_f (0 K), meV/atom: 253
Distance to the lowest polymorph of the same formula, eV per atom: 0.082



Record 10
Density functional theory data (PBE) for Ta2CuHg after structural relaxation.

Cell and atoms, written as POSCAR:
```
Ta2CuHg
1.0
-3.6746 3.6746 2.7404
3.6746 -3.6746 2.7404
3.6746 3.6746 -2.7404
Ta Cu Hg
4 2 2
direct
0.0968 0.1250 0.4718
0.3750 0.9032 0.0282
0.6532 0.6250 0.5282
0.8750 0.3468 0.9718
0.0000 0.0000 0.0000
0.7500 0.2500 0.5000
0.2500 0.7500 0.5000
0.5000 0.5000 0.0000
```

Computed properties:
D(E_F), states/eV/f.u.: 3.58
ρ, g cm⁻³: 14.05
Total energy, eV/cell: -50.51
ΔH_f (0 K), meV/atom: 712
Distance to the lowest polymorph of the same formula, eV per atom: 0.541



Record 11
Density functional theory data (PBE) for TaCu2Hg2 after structural relaxation.

Cell and atoms, written as POSCAR:
```
TaCu2Hg2
1.0
7.7170 0.0000 0.0000
0.0000 7.7170 0.0000
0.0000 0.0000 2.9020
Ta Cu Hg
2 4 4
direct
0.0000 0.0000 0.0000
0.5000 0.5000 0.0000
0.1664 0.3336 0.5000
0.3336 0.8336 0.5000
0.6664 0.1664 0.5000
0.8336 0.6664 0.5000
0.1355 0.6355 0.0000
0.3645 0.1355 0.0000
0.6355 0.8645 0.0000
0.8645 0.3645 0.0000
```

Computed properties:
D(E_F), states/eV/f.u.: 2.86
ρ, g cm⁻³: 13.63
Total energy, eV/cell: -36.56
ΔH_f (0 K), meV/atom: 474
Distance to the lowest polymorph of the same formula, eV per atom: 0.000



Record 12
Density functional theory data (PBE) for Ta2CuHg after structural relaxation.

Cell and atoms, written as POSCAR:
```
Ta2CuHg
1.0
0.0000 3.2943 3.2943
3.2943 0.0000 3.2943
3.2943 3.2943 0.0000
Ta Cu Hg
2 1 1
direct
0.0000 0.0000 0.0000
0.2500 0.2500 0.2500
0.5000 0.5000 0.5000
0.7500 0.7500 0.7500
```

Computed properties:
D(E_F), states/eV/f.u.: 5.79
ρ, g cm⁻³: 14.54
Total energy, eV/cell: -25.64
ΔH_f (0 K), meV/atom: 617
Distance to the lowest polymorph of the same formula, eV per atom: 0.446